Record 1
## Sr3Ca4Au4 (PBE)

Data for a geometry-optimized Sr3Ca4Au4 structure.

Values from the calculation:
**Calculated formation energy**: -0.623 eV per atom
**Crystal system**: orthorhombic

```
Sr3Ca4Au4
1.0
4.1912 0.0000 -1.0426
-1.1344 8.0751 -4.5605
0.2581 0.2693 9.9832
Au Sr Ca
4 3 4
Direct
0.2456 0.7456 0.4912
0.7544 0.2544 0.5088
0.5000 0.7875 0.0000
0.5000 0.2125 0.0000
0.1049 0.1049 0.2098
0.8951 0.8951 0.7902
0.0000 0.5000 0.0000
0.6713 0.8608 0.3425
0.3287 0.1392 0.6575
0.3287 0.5183 0.6575
0.6713 0.4817 0.3425
```



Record 2
## BaCaGe2Pt (PBE)

Data for a geometry-optimized BaCaGe2Pt structure.

Values from the calculation:
**Calculated formation energy**: 0.922 eV per atom
**Crystal system**: tetragonal

```
BaCaGe2Pt
1.0
5.2695 0.0000 0.0000
0.0000 6.2602 0.0000
0.0000 0.0000 5.2695
Ba Ge Ca Pt
1 2 1 1
Direct
0.0000 0.5000 0.0000
0.5000 0.0000 0.0000
0.0000 0.0000 0.5000
0.0000 0.0000 0.0000
0.5000 0.5000 0.5000
```



no.,M_tot (μB per atom),volume (Å³/cell),VASP energy (eV/atom)
1,0.00,345.52,-3.002
2,0.12,173.83,-2.918